MnSnRh3: optimized geometry, GGA-PBE.

E above lowest polymorph   0.0 meV/atom
Spin magnetization   0.00 μB per formula unit
Final energy   -0.4694 Ry per atom
Fermi-level density of states   5.93 states/eV/cell

Lattice parameters (Å, degrees): 4.4813 4.4813 4.4813 90.00 90.00 90.00
Element x y z (fractional)
Mn  0.0000  0.0000  0.0000
Sn  0.5000  0.5000  0.5000
Rh  0.0000  0.0000  0.5000
Rh  0.0000  0.5000  0.0000
Rh  0.5000  0.0000  0.0000

=====

Mn2Sn2Rh: optimized geometry, GGA-PBE.

E above lowest polymorph   306.8 meV/atom
Spin magnetization   3.01 μB per formula unit
Final energy   -0.4582 Ry per atom
Fermi-level density of states   3.53 states/eV/cell

Lattice parameters (Å, degrees): 5.0731 5.0731 5.0731 122.32 122.32 86.03
Element x y z (fractional)
Mn  0.1315  0.1315  0.0000
Mn  0.8685  0.8685  0.0000
Sn  0.2500  0.7500  0.5000
Sn  0.7500  0.2500  0.5000
Rh  0.5000  0.5000  0.0000

=====

MnSn2Rh2: optimized geometry, GGA-PBE.

Spin magnetization   4.45 μB per formula unit
Final energy   -0.4853 Ry per atom
Fermi-level density of states   5.99 states/eV/cell

Lattice parameters (Å, degrees): 7.2390 7.2390 3.4191 90.00 90.00 90.00
Element x y z (fractional)
Mn  0.0000  0.0000  0.0000
Mn  0.5000  0.5000  0.0000
Sn  0.1580  0.3420  0.5000
Sn  0.3420  0.8420  0.5000
Sn  0.6580  0.1580  0.5000
Sn  0.8420  0.6580  0.5000
Rh  0.1424  0.6424  0.0000
Rh  0.3576  0.1424  0.0000
Rh  0.6424  0.8576  0.0000
Rh  0.8576  0.3576  0.0000

=====

MnSnRh3: optimized geometry, GGA-PBE.

E above lowest polymorph   1016.6 meV/atom
Spin magnetization   0.13 μB per formula unit
Final energy   -0.3947 Ry per atom
Fermi-level density of states   15.33 states/eV/cell

Lattice parameters (Å, degrees): 4.7797 4.7797 4.7797 90.00 90.00 90.00
Element x y z (fractional)
Mn  0.0000  0.0000  0.0000
Sn  0.5000  0.5000  0.5000
Rh  0.0000  0.5000  0.5000
Rh  0.5000  0.0000  0.5000
Rh  0.5000  0.5000  0.0000

=====

Sr2MnSnRh: optimized geometry, GGA-PBE.

Spin magnetization   5.36 μB per formula unit
Final energy   -0.3005 Ry per atom
Fermi-level density of states   7.69 states/eV/cell

Lattice parameters (Å, degrees): 6.1976 6.1976 4.9640 90.00 90.00 90.00
Element x y z (fractional)
Sr  0.0000  0.5000  0.0000
Sr  0.5000  0.0000  0.0000
Mn  0.0000  0.0000  0.5000
Sn  0.0000  0.0000  0.0000
Rh  0.5000  0.5000  0.5000

=====

Sr2MnSn3Rh4: optimized geometry, GGA-PBE.

Spin magnetization   4.30 μB per formula unit
Final energy   -0.4354 Ry per atom
Fermi-level density of states   4.26 states/eV/cell

Lattice parameters (Å, degrees): 4.4310 4.4310 11.1452 90.00 90.00 90.00
Element x y z (fractional)
Sr  0.0000  0.5000  0.2492
Sr  0.5000  0.0000  0.7508
Mn  0.5000  0.5000  0.0000
Sn  0.0000  0.0000  0.0000
Sn  0.0000  0.5000  0.6283
Sn  0.5000  0.0000  0.3717
Rh  0.0000  0.0000  0.5000
Rh  0.0000  0.5000  0.8686
Rh  0.5000  0.0000  0.1314
Rh  0.5000  0.5000  0.5000

=====

Sr2MnSn4Rh3: optimized geometry, GGA-PBE.

Spin magnetization   2.96 μB per formula unit
Final energy   -0.4079 Ry per atom
Fermi-level density of states   7.24 states/eV/cell

Lattice parameters (Å, degrees): 4.5825 4.5825 10.9575 90.00 90.00 90.00
Element x y z (fractional)
Sr  0.0000  0.5000  0.2459
Sr  0.5000  0.0000  0.7541
Mn  0.5000  0.5000  0.0000
Sn  0.0000  0.0000  0.5000
Sn  0.0000  0.5000  0.8709
Sn  0.5000  0.0000  0.1291
Sn  0.5000  0.5000  0.5000
Rh  0.0000  0.0000  0.0000
Rh  0.0000  0.5000  0.6267
Rh  0.5000  0.0000  0.3733

=====

TaMnSnRh: optimized geometry, GGA-PBE.

Spin magnetization   0.95 μB per formula unit
Final energy   -0.6078 Ry per atom
Fermi-level density of states   3.01 states/eV/cell

Lattice parameters (Å, degrees): 4.4686 4.4686 4.4686 60.00 60.00 60.00
Element x y z (fractional)
Ta  0.0000  0.0000  0.0000
Mn  0.2500  0.2500  0.2500
Sn  0.5000  0.5000  0.5000
Rh  0.7500  0.7500  0.7500